--- one ---
## PuBiPb (PBE)

Data for PuBiPb after structural relaxation.

a b c (Å): 16.3629 16.3629 16.3629
angles (deg): 168.10 168.10 16.86
Fractional coordinates of all 6 atoms:
1 Pu 0.1311 0.1311 0.0000
2 Pu 0.8689 0.8689 0.0000
3 Bi 0.4425 0.4425 0.0000
4 Bi 0.5575 0.5575 0.0000
5 Pb 0.2909 0.2909 0.0000
6 Pb 0.7091 0.7091 0.0000

Total magnetization = 11.77 μB/cell

---

--- two ---
## PuBiPb (PBE)

Data for PuBiPb after structural relaxation.

a b c (Å): 5.6028 5.6028 3.3537
angles (deg): 90.00 90.00 120.00
Fractional coordinates of all 3 atoms:
1 Pu 0.0000 0.0000 0.0000
2 Bi 0.6667 0.3333 0.4972
3 Pb 0.3333 0.6667 0.5027

Total magnetization = 6.11 μB/cell

---

Which structure wins on stability? two wins.